No. 1
DFT (PBE) results for crystalline K2SiRh at its relaxed geometry.

Calculated values
E = -3.75 eV per atom
Raw formation energy = -0.007 eV/atom
Symmetry = P4mm, No. 99

Structure (CIF):
```
data_K2SiRh
_chemical_formula_sum 'K2 Si1 Rh1'
_cell_length_a 3.386
_cell_length_b 3.386
_cell_length_c 10.059
_cell_angle_alpha 90.00
_cell_angle_beta 90.00
_cell_angle_gamma 90.00
_space_group_name_H-M_alt 'P 1'
_space_group_IT_number 1
_space_group_name_Hall 'P 1'
loop_
_atom_site_label
_atom_site_type_symbol
_atom_site_fract_x
_atom_site_fract_y
_atom_site_fract_z
K1 K 0.000 0.000 0.912
K2 K 0.500 0.500 0.334
Rh1 Rh 0.000 0.000 0.599
Si1 Si 0.500 0.500 0.655
```

***

No. 2
DFT (PBE) results for crystalline NaSn2Au5 at its relaxed geometry.

Calculated values
E = -3.37 eV per atom
Symmetry = Immm, No. 71
Calculated formation energy = -0.15 eV per atom

Structure (CIF):
```
data_NaSn2Au5
_chemical_formula_sum 'Na1 Sn2 Au5'
_cell_length_a 4.285
_cell_length_b 7.205
_cell_length_c 7.205
_cell_angle_alpha 61.33
_cell_angle_beta 72.70
_cell_angle_gamma 72.70
_space_group_name_H-M_alt 'P 1'
_space_group_IT_number 1
_space_group_name_Hall 'P 1'
loop_
_atom_site_label
_atom_site_type_symbol
_atom_site_fract_x
_atom_site_fract_y
_atom_site_fract_z
Na1 Na 0.000 0.000 0.000
Sn1 Sn 0.755 0.745 0.745
Sn2 Sn 0.245 0.255 0.255
Au1 Au 0.000 0.500 0.500
Au2 Au 0.623 0.576 0.177
Au3 Au 0.377 0.424 0.823
Au4 Au 0.377 0.823 0.424
Au5 Au 0.623 0.177 0.576
```

***

No. 3
DFT (PBE) results for crystalline Pu3Ga9Ni2 at its relaxed geometry.

Calculated values
E = -6.22 eV per atom
Symmetry = Immm, No. 71
Calculated formation energy = -0.37 eV per atom

Structure (CIF):
```
data_Pu3Ga9Ni2
_chemical_formula_sum 'Pu3 Ga9 Ni2'
_cell_length_a 4.305
_cell_length_b 8.040
_cell_length_c 8.040
_cell_angle_alpha 72.47
_cell_angle_beta 74.47
_cell_angle_gamma 74.47
_space_group_name_H-M_alt 'P 1'
_space_group_IT_number 1
_space_group_name_Hall 'P 1'
loop_
_atom_site_label
_atom_site_type_symbol
_atom_site_fract_x
_atom_site_fract_y
_atom_site_fract_z
Pu1 Pu 0.000 0.000 0.000
Pu2 Pu 0.699 0.301 0.301
Pu3 Pu 0.301 0.699 0.699
Ga1 Ga 0.000 0.500 0.500
Ga2 Ga 0.652 0.985 0.711
Ga3 Ga 0.348 0.015 0.289
Ga4 Ga 0.652 0.711 0.985
Ga5 Ga 0.348 0.289 0.015
Ga6 Ga 0.867 0.851 0.415
Ga7 Ga 0.133 0.149 0.585
Ga8 Ga 0.867 0.415 0.851
Ga9 Ga 0.133 0.585 0.149
Ni1 Ni 0.500 0.314 0.686
Ni2 Ni 0.500 0.686 0.314
```

***

No. 4
DFT (PBE) results for crystalline Pa2Co2Ge at its relaxed geometry.

Calculated values
Energy above the most stable polymorph in this dataset = 0 meV/atom
E = -8.13 eV per atom
Symmetry = P4/mbm, No. 127
Calculated formation energy = -0.57 eV per atom

Structure (CIF):
```
data_Pa2Co2Ge
_chemical_formula_sum 'Pa4 Co4 Ge2'
_cell_length_a 3.501
_cell_length_b 7.137
_cell_length_c 7.137
_cell_angle_alpha 90.00
_cell_angle_beta 90.00
_cell_angle_gamma 90.00
_space_group_name_H-M_alt 'P 1'
_space_group_IT_number 1
_space_group_name_Hall 'P 1'
loop_
_atom_site_label
_atom_site_type_symbol
_atom_site_fract_x
_atom_site_fract_y
_atom_site_fract_z
Pa1 Pa 0.500 0.177 0.677
Pa2 Pa 0.500 0.677 0.823
Pa3 Pa 0.500 0.823 0.323
Pa4 Pa 0.500 0.323 0.177
Co1 Co 0.000 0.368 0.868
Co2 Co 0.000 0.868 0.632
Co3 Co 0.000 0.632 0.132
Co4 Co 0.000 0.132 0.368
Ge1 Ge 0.000 0.000 0.000
Ge2 Ge 0.000 0.500 0.500
```

***

No. 5
DFT (PBE) results for crystalline TaIn2Cl at its relaxed geometry.

Calculated values
Energy above the most stable polymorph in this dataset = 638 meV/atom
E = -4.38 eV per atom
Raw formation energy = 0.411 eV/atom
Symmetry = I-42d, No. 122

Structure (CIF):
```
data_TaIn2Cl
_chemical_formula_sum 'Ta2 In4 Cl2'
_cell_length_a 9.748
_cell_length_b 9.748
_cell_length_c 7.288
_cell_angle_alpha 48.03
_cell_angle_beta 48.03
_cell_angle_gamma 90.00
_space_group_name_H-M_alt 'P 1'
_space_group_IT_number 1
_space_group_name_Hall 'P 1'
loop_
_atom_site_label
_atom_site_type_symbol
_atom_site_fract_x
_atom_site_fract_y
_atom_site_fract_z
Cl1 Cl 0.500 0.500 0.000
Cl2 Cl 0.250 0.750 0.500
In1 In 0.729 0.125 0.250
In2 In 0.021 0.625 0.250
In3 In 0.375 0.271 0.750
In4 In 0.875 0.979 0.750
Ta1 Ta 0.000 0.000 0.000
Ta2 Ta 0.750 0.250 0.500
```

***

No. 6
DFT (PBE) results for crystalline K3Rb at its relaxed geometry.

Calculated values
E = -1.06 eV per atom
Symmetry = P-6m2, No. 187
Calculated formation energy = 0.00 eV per atom

Structure (CIF):
```
data_K3Rb
_chemical_formula_sum 'K3 Rb1'
_cell_length_a 4.777
_cell_length_b 4.777
_cell_length_c 15.477
_cell_angle_alpha 90.00
_cell_angle_beta 90.00
_cell_angle_gamma 120.00
_space_group_name_H-M_alt 'P 1'
_space_group_IT_number 1
_space_group_name_Hall 'P 1'
loop_
_atom_site_label
_atom_site_type_symbol
_atom_site_fract_x
_atom_site_fract_y
_atom_site_fract_z
K1 K 0.333 0.667 0.000
K2 K 0.000 0.000 0.757
K3 K 0.000 0.000 0.243
Rb1 Rb 0.667 0.333 0.500
```

***

> Which of these has the highest E?

K3Rb

***

Copy entry 5 word for word.
DFT (PBE) results for crystalline TaIn2Cl at its relaxed geometry.

Calculated values
Energy above the most stable polymorph in this dataset = 638 meV/atom
E = -4.38 eV per atom
Raw formation energy = 0.411 eV/atom
Symmetry = I-42d, No. 122

Structure (CIF):
```
data_TaIn2Cl
_chemical_formula_sum 'Ta2 In4 Cl2'
_cell_length_a 9.748
_cell_length_b 9.748
_cell_length_c 7.288
_cell_angle_alpha 48.03
_cell_angle_beta 48.03
_cell_angle_gamma 90.00
_space_group_name_H-M_alt 'P 1'
_space_group_IT_number 1
_space_group_name_Hall 'P 1'
loop_
_atom_site_label
_atom_site_type_symbol
_atom_site_fract_x
_atom_site_fract_y
_atom_site_fract_z
Cl1 Cl 0.500 0.500 0.000
Cl2 Cl 0.250 0.750 0.500
In1 In 0.729 0.125 0.250
In2 In 0.021 0.625 0.250
In3 In 0.375 0.271 0.750
In4 In 0.875 0.979 0.750
Ta1 Ta 0.000 0.000 0.000
Ta2 Ta 0.750 0.250 0.500
```